1.
TiNb4Ir5: optimized geometry, PBE-GGA.

Properties
The crystal system is tetragonal. For the calculated total energy, the calculation gives -98.45 eV for the cell shown. The value obtained for the calculated density is 14.400 g cm⁻³. The formation energy is -597 meV per atom. The space group is P4/mmm (123).

extended XYZ file:
```
10
Lattice="2.896 0.000 0.000 0.000 2.896 0.000 0.000 0.000 18.979" Properties=species:S:1:pos:R:3 pbc="T T T"
Ti 0.000 0.000 0.000
Nb 0.000 0.000 3.682
Nb 0.000 0.000 7.556
Nb 0.000 0.000 11.423
Nb 0.000 0.000 15.296
Ir 1.448 1.448 1.693
Ir 1.448 1.448 5.614
Ir 1.448 1.448 9.489
Ir 1.448 1.448 13.364
Ir 1.448 1.448 17.286
```

2.
TiNbIrW: optimized geometry, PBE-GGA.

Properties
The crystal system is cubic. For the calculated total energy, the calculation gives -41.38 eV for the cell shown. The value obtained for the calculated density is 13.357 g cm⁻³. The formation energy is -400 meV per atom. The space group is F-43m (216).

extended XYZ file:
```
4
Lattice="0.000 3.179 3.179 3.179 0.000 3.179 3.179 3.179 0.000" Properties=species:S:1:pos:R:3 pbc="T T T"
Ti 0.000 0.000 0.000
Nb 3.179 3.179 3.179
Ir 1.589 1.589 1.589
W 4.768 4.768 4.768
```

3.
YTiNbIr2: optimized geometry, PBE-GGA.

Properties
The crystal system is tetragonal. For the calculated total energy, the calculation gives -45.66 eV for the cell shown. The value obtained for the calculated density is 10.152 g cm⁻³. The formation energy is -703 meV per atom. The space group is I-4m2 (119).

extended XYZ file:
```
5
Lattice="-2.178 2.178 5.295 2.178 -2.178 5.295 2.178 2.178 -5.295" Properties=species:S:1:pos:R:3 pbc="T T T"
Y 0.000 0.000 0.000
Ti 0.000 2.178 2.648
Nb 2.178 0.000 2.648
Ir 0.000 0.000 4.008
Ir 0.000 0.000 6.582
```

4.
YTiNb2Ir: optimized geometry, PBE-GGA.

Properties
The crystal system is tetragonal. For the calculated total energy, the calculation gives -33.02 eV for the cell shown. The value obtained for the calculated density is 8.124 g cm⁻³. The formation energy is 2069 meV per atom. The space group is P4/mmm (123).

extended XYZ file:
```
5
Lattice="4.787 0.000 0.000 0.000 4.787 0.000 0.000 0.000 4.591" Properties=species:S:1:pos:R:3 pbc="T T T"
Y 0.000 0.000 0.000
Ti 0.000 0.000 2.295
Nb 0.000 2.394 0.000
Nb 2.394 0.000 0.000
Ir 2.394 2.394 2.295
```

5.
Y2TiNbIr: optimized geometry, PBE-GGA.

Properties
The crystal system is tetragonal. For the calculated total energy, the calculation gives -34.73 eV for the cell shown. The value obtained for the calculated density is 7.003 g cm⁻³. The formation energy is 1005 meV per atom. The space group is P4/mmm (123).

extended XYZ file:
```
5
Lattice="5.154 0.000 0.000 0.000 5.154 0.000 0.000 0.000 4.560" Properties=species:S:1:pos:R:3 pbc="T T T"
Y 0.000 2.577 0.000
Y 2.577 0.000 0.000
Ti 0.000 0.000 0.000
Nb 0.000 0.000 2.280
Ir 2.577 2.577 2.280
```

6.
TiNbZnIr: optimized geometry, PBE-GGA.

Properties
The crystal system is cubic. For the calculated total energy, the calculation gives -29.34 eV for the cell shown. The value obtained for the calculated density is 10.505 g cm⁻³. The formation energy is -311 meV per atom. The space group is F-43m (216).

extended XYZ file:
```
4
Lattice="0.000 3.158 3.158 3.158 0.000 3.158 3.158 3.158 0.000" Properties=species:S:1:pos:R:3 pbc="T T T"
Ti 0.000 0.000 0.000
Nb 1.579 1.579 1.579
Zn 4.737 4.737 4.737
Ir 3.158 3.158 3.158
```

> calculated total energy of number 3 (YTiNbIr2)?

-45.66 eV for the cell shown